Material: Ac3Se3O
Method: DFT, PBE
State: optimized geometry

Unit cell a=8.6688 b=12.9170 c=7.5563 alpha=90.00 beta=99.14 gamma=90.00
Space group C2/m (No. 12)
Asymmetric unit:
Ac: 0.1017 0.0000 0.3086
Ac: 0.1887 0.3472 0.2170
Se: 0.0000 0.1623 0.0000
Se: 0.0000 0.2264 0.5000
Se: 0.1016 0.5000 0.8400
O: 0.1843 0.0000 0.6397

Output
raw total energy: -6.17 eV/atom
energy relative to the elements, uncorrected: -2.205 eV per atom
distance to the lowest polymorph of the same formula: 0.871 eV/f.u.
density of states at the Fermi level: 4.2 states/eV/f.u.